VASP calculation (GGA-PBEsol) on LiHfPb2C after structural relaxation.

Properties
ρ: 10.0 g cm⁻³
Calculated formation energy: 1629 meV per atom

a = 4.5632 Å, b = 4.5632 Å, c = 4.8851 Å
α = 90.00°, β = 90.00°, γ = 90.00°
Space group P4/mmm (No. 123)
One atom of each set of equivalent atoms:
Li  0.0000  0.0000  0.0000 (multiplicity 1)
Hf  0.0000  0.0000  0.5000 (multiplicity 1)
Pb  0.0000  0.5000  0.0000 (multiplicity 2)
C  0.5000  0.5000  0.5000 (multiplicity 1)